No. 1
Density functional theory data (GGA-PBE) for an optimized crystal structure of CaRe2Ru.

Spin magnetization in μB/f.u.: 0.00
DOS at the Fermi energy in states/eV/cell: 5.33
ΔE_f in kcal/mol of atoms: 17.15
V in Å³ per atom: 16.8
Space group: I4/mmm, No. 139
Energy above the most stable polymorph in this dataset in eV/f.u.: 1.38

Structure (extended XYZ):
```
4
Lattice="5.3650 0.0006 0.0000 2.6689 4.6540 0.0000 -4.0169 -2.3273 2.6890" Properties=species:S:1:pos:R:3 pbc="T T T"
Ca 2.6825 0.0003 1.3445
Re 0.0000 0.0000 0.0000
Re 4.0169 2.3273 0.0000
Ru 1.3344 2.3270 1.3445
```



No. 2
Density functional theory data (GGA-PBE) for an optimized crystal structure of Ca2ReRu.

Spin magnetization in μB/f.u.: 0.00
DOS at the Fermi energy in states/eV/cell: 5.59
ΔE_f in kcal/mol of atoms: 18.01
V in Å³ per atom: 19.3
Space group: I4/mmm, No. 139
Energy above the most stable polymorph in this dataset in eV/f.u.: 2.10

Structure (extended XYZ):
```
4
Lattice="-0.4187 2.9642 -4.7267 3.5634 -1.0224 -4.1904 -3.3598 -2.8976 3.4086" Properties=species:S:1:pos:R:3 pbc="T T T"
Ru -1.1031 0.5187 -2.8883
Ca 0.0000 0.0000 0.0000
Re 0.8880 -1.4746 -2.6202
Ca 1.5723 0.9709 -4.4585
```



No. 3
Density functional theory data (GGA-PBE) for an optimized crystal structure of CaReRu2.

Spin magnetization in μB/f.u.: 0.00
DOS at the Fermi energy in states/eV/cell: 4.27
ΔE_f in kcal/mol of atoms: 16.11
V in Å³ per atom: 16.3
Space group: Pmmm, No. 47
Energy above the most stable polymorph in this dataset in eV/f.u.: 1.78

Structure (extended XYZ):
```
4
Lattice="-1.2072 -0.2087 -2.6638 -3.7742 -2.4540 1.9028 -2.2008 3.9201 0.6903" Properties=species:S:1:pos:R:3 pbc="T T T"
Re -2.9875 0.7330 1.2965
Ru -2.4907 -1.3314 -0.3805
Ca -1.7040 1.8557 -0.9867
Ru 0.0000 0.0000 0.0000
```



No. 4
Density functional theory data (GGA-PBE) for an optimized crystal structure of CaReRu2.

Spin magnetization in μB/f.u.: 0.00
DOS at the Fermi energy in states/eV/cell: 3.75
ΔE_f in kcal/mol of atoms: 11.82
V in Å³ per atom: 17.5
Space group: Immm, No. 71
Energy above the most stable polymorph in this dataset in eV/f.u.: 1.04

Structure (extended XYZ):
```
4
Lattice="5.3197 0.0152 0.0087 2.0512 4.9084 -0.0087 -3.0141 -3.4669 2.6825" Properties=species:S:1:pos:R:3 pbc="T T T"
Ru 0.2539 0.1696 0.0000
Ca 2.9956 -0.4949 1.3456
Ru 3.4316 2.2922 0.0000
Re 1.3613 1.9517 1.3369
```